[1]
Compound: YHfCuPb
Source: OQMD
Functional: PBE-GGA
Structure: optimized geometry

Computed properties:
total energy	-5.56	eV per atom
energy above the lowest structure with this stoichiometry	0	meV/atom
calculated volume	22.935	A^3/atom

Unit cell a=7.1594 b=7.1594 c=7.1594 alpha=90.00 beta=90.00 gamma=90.00
Closest atoms and distances in Å follow each position.
Space group F-43m (No. 216)
Symmetry-distinct sites (fractional):
Y 0.0000 0.0000 0.0000 [4 per cell]  4 Hf 3.10, 4 Cu 3.10
Hf 0.2500 0.2500 0.2500 [4 per cell]  4 Pb 3.10, 4 Y 3.10
Cu 0.2500 0.2500 0.7500 [4 per cell]  4 Pb 3.10, 4 Y 3.10
Pb 0.0000 0.0000 0.5000 [4 per cell]  4 Cu 3.10, 4 Hf 3.10



[2]
Compound: HfZrCuPb
Source: OQMD
Functional: PBE-GGA
Structure: optimized geometry

Computed properties:
total energy	-6.06	eV per atom
energy above the lowest structure with this stoichiometry	0	meV/atom
calculated volume	21.840	A^3/atom

Unit cell a=7.0435 b=7.0435 c=7.0435 alpha=90.00 beta=90.00 gamma=90.00
Closest atoms and distances in Å follow each position.
Space group F-43m (No. 216)
Symmetry-distinct sites (fractional):
Hf 0.0000 0.0000 0.0000 [4 per cell]  4 Zr 3.05, 4 Cu 3.05
Zr 0.2500 0.2500 0.2500 [4 per cell]  4 Hf 3.05, 4 Pb 3.05
Cu 0.2500 0.2500 0.7500 [4 per cell]  4 Hf 3.05, 4 Pb 3.05
Pb 0.0000 0.0000 0.5000 [4 per cell]  4 Cu 3.05, 4 Zr 3.05